Material: U2Pa5N12
Method: DFT, PBE-GGA
State: relaxed

Geometry as POSCAR:
```
U2Pa5N12
1.0
6.385 -3.031 0.000
6.385 3.031 0.000
-2.266 0.000 7.308
U Pa N
2 5 12
direct
0.224 0.776 0.000
0.776 0.224 0.000
0.000 0.000 0.500
0.303 0.303 0.639
0.305 0.305 0.168
0.695 0.695 0.832
0.697 0.697 0.361
0.003 0.003 0.771
0.093 0.560 0.909
0.094 0.581 0.423
0.419 0.906 0.577
0.440 0.907 0.091
0.497 0.497 0.181
0.503 0.503 0.819
0.560 0.093 0.909
0.581 0.094 0.423
0.906 0.419 0.577
0.907 0.440 0.091
0.997 0.997 0.229
```

Spin magnetization: 1.0 μB/f.u.
Energy relative to the elements, uncorrected: -1477 meV per atom
V: 282.9 Å³ per cell
SG: No. 12